[1]
The following is a PBE calculation of FeTcTe2 after structural relaxation, from Alexandria.

Calculated values
**Magnetization**: 4.2 μB per cell
**Raw formation energy**: 0.692 eV per atom
**Space group**: I-4m2, No. 119
**V**: 75 Å³/f.u.
**N(E_F)**: 4.7 states/eV/f.u.
**Energy above the lowest structure with this stoichiometry**: 705 meV per atom
**E_tot**: -5.586 eV per atom

abc: 3.9322 3.9322 9.7109
angles: 90.00 90.00 90.00
Last column: nearest neighbours and their distance in Å.
Element x y z (fractional)
Fe 0.0000 0.0000 0.0000  4 Te 2.78
Fe 0.5000 0.5000 0.5000  4 Te 2.78
Tc 0.0000 0.5000 0.7500  4 Te 2.78
Tc 0.5000 0.0000 0.2500  4 Te 2.78
Te 0.0000 0.0000 0.5000  4 Fe 2.78
Te 0.0000 0.5000 0.2500  4 Tc 2.78
Te 0.5000 0.0000 0.7500  4 Tc 2.78
Te 0.5000 0.5000 0.0000  4 Fe 2.78



[2]
The following is a PBE calculation of CrRu2Cl after structural relaxation, from Alexandria.

Calculated values
**Magnetization**: 1.9 μB per cell
**Raw formation energy**: 0.578 eV per atom
**Space group**: Cmmm, No. 65
**V**: 59 Å³/f.u.
**N(E_F)**: 6.2 states/eV/f.u.
**Energy above the lowest structure with this stoichiometry**: 281 meV per atom
**E_tot**: -6.927 eV per atom

abc: 2.8497 4.9001 8.4040
angles: 90.00 90.00 90.00
Last column: nearest neighbours and their distance in Å.
Element x y z (fractional)
Cr 0.0000 0.0000 0.0000  4 Ru 2.43
Cr 0.5000 0.5000 0.0000  4 Ru 2.43
Ru 0.0000 0.5000 0.2345  2 Cr 2.43, 2 Cl 2.65
Ru 0.0000 0.5000 0.7655  2 Cr 2.43, 2 Cl 2.65
Ru 0.5000 0.0000 0.2345  2 Cr 2.43, 2 Cl 2.65
Ru 0.5000 0.0000 0.7655  2 Cr 2.43, 2 Cl 2.65
Cl 0.0000 0.0000 0.5000  4 Ru 2.65, 6 Cl 2.83-2.85
Cl 0.5000 0.5000 0.5000  4 Ru 2.65, 6 Cl 2.83-2.85



[3]
The following is a PBE calculation of PmY2Sb after structural relaxation, from Alexandria.

Calculated values
**Magnetization**: 2.4 μB per cell
**Raw formation energy**: -0.371 eV per atom
**Space group**: R3m, No. 160
**V**: 135 Å³/f.u.
**N(E_F)**: 4.4 states/eV/f.u.
**Energy above the lowest structure with this stoichiometry**: 221 meV per atom
**E_tot**: -5.821 eV per atom

abc: 4.0305 4.0305 28.7218
angles: 90.00 90.00 120.00
Last column: nearest neighbours and their distance in Å.
Element x y z (fractional)
Pm 0.0000 0.0000 0.0000  6 Y 3.68-3.71, 6 Pm 4.03
Pm 0.3333 0.6667 0.6667  6 Y 3.68-3.71, 6 Pm 4.03
Pm 0.6667 0.3333 0.3333  6 Y 3.68-3.71, 6 Pm 4.03
Y 0.0000 0.0000 0.5661  3 Sb 3.02
Y 0.0000 0.0000 0.7660  3 Sb 3.01
Y 0.3333 0.6667 0.2327  3 Sb 3.02
Y 0.3333 0.6667 0.4327  3 Sb 3.01
Y 0.6667 0.3333 0.0994  3 Sb 3.01
Y 0.6667 0.3333 0.8994  3 Sb 3.02
Sb 0.0000 0.0000 0.1656  6 Y 3.01-3.02
Sb 0.3333 0.6667 0.8323  6 Y 3.01-3.02
Sb 0.6667 0.3333 0.4990  6 Y 3.01-3.02